Entry 1:
Tm2NbSe4: relaxed, PBE.

Values from the calculation:
- crystal system = monoclinic
- calculated total energy (eV per atom) = -6.074
- DOS(E_F) (states/eV per atom) = 0.521
- total moment (μB per cell) = 2.33
- uncorrected formation energy (eV/atom) = -1.37

abc: 14.2738 3.9180 7.1022
angles: 90.00 119.48 90.00
Last column: nearest neighbours and their distance in Å.
Atoms (fractional coordinates):
Tm (0.2396, 0.0000, 0.2246)  6 Se 2.78-2.90
Tm (0.2604, 0.5000, 0.7754)  6 Se 2.78-2.90
Tm (0.7396, 0.5000, 0.2246)  6 Se 2.78-2.90
Tm (0.7604, 0.0000, 0.7754)  6 Se 2.78-2.90
Nb (0.0000, 0.5000, 0.5000)  6 Se 2.67-2.73
Nb (0.5000, 0.0000, 0.5000)  6 Se 2.67-2.73
Se (0.1134, 0.5000, 0.9318)  1 Nb 2.67, 3 Tm 2.78-2.82
Se (0.1242, 0.0000, 0.4647)  2 Nb 2.73, 3 Tm 2.87-2.90
Se (0.3758, 0.5000, 0.5353)  2 Nb 2.73, 3 Tm 2.87-2.90
Se (0.3866, 0.0000, 0.0682)  1 Nb 2.67, 3 Tm 2.78-2.82
Se (0.6134, 0.0000, 0.9318)  1 Nb 2.67, 3 Tm 2.78-2.82
Se (0.6242, 0.5000, 0.4647)  2 Nb 2.73, 3 Tm 2.87-2.90
Se (0.8758, 0.0000, 0.5353)  2 Nb 2.73, 3 Tm 2.87-2.90
Se (0.8866, 0.5000, 0.0682)  1 Nb 2.67, 3 Tm 2.78-2.82

Entry 2:
GdS: relaxed, PBE.

Values from the calculation:
- crystal system = cubic
- calculated total energy (eV per atom) = -11.167
- DOS(E_F) (states/eV per atom) = 0.605
- total moment (μB per cell) = 27.12
- uncorrected formation energy (eV/atom) = -2.06

abc: 5.6037 5.6037 5.6037
angles: 90.00 90.00 90.00
Last column: nearest neighbours and their distance in Å.
Atoms (fractional coordinates):
Gd (0.0000, 0.0000, 0.0000)  6 S 2.80
Gd (0.0000, 0.5000, 0.5000)  6 S 2.80
Gd (0.5000, 0.0000, 0.5000)  6 S 2.80
Gd (0.5000, 0.5000, 0.0000)  6 S 2.80
S (0.0000, 0.0000, 0.5000)  6 Gd 2.80
S (0.0000, 0.5000, 0.0000)  6 Gd 2.80
S (0.5000, 0.0000, 0.0000)  6 Gd 2.80
S (0.5000, 0.5000, 0.5000)  6 Gd 2.80

Entry 3:
Be17VRe: relaxed, PBE.

Values from the calculation:
- crystal system = trigonal
- calculated total energy (eV per atom) = -4.603
- DOS(E_F) (states/eV per atom) = 0.258
- total moment (μB per cell) = 0.00

abc: 5.4583 5.4583 5.4583
angles: 82.96 82.96 82.96
Last column: nearest neighbours and their distance in Å.
Atoms (fractional coordinates):
Be (0.0534, 0.0534, 0.0534)  7 Be 2.12-2.31
Be (0.1516, 0.1516, 0.6558)  10 Be 2.08-2.21
Be (0.1516, 0.6558, 0.1516)  10 Be 2.08-2.21
Be (0.1542, 0.4556, 0.8496)  8 Be 2.08-2.20
Be (0.1542, 0.8496, 0.4556)  8 Be 2.08-2.20
Be (0.2548, 0.2548, 0.2548)  7 Be 2.12-2.27
Be (0.3177, 0.8028, 0.8028)  8 Be 2.06-2.20
Be (0.4556, 0.1542, 0.8496)  8 Be 2.08-2.20
Be (0.4556, 0.8496, 0.1542)  8 Be 2.08-2.20
Be (0.5025, 0.5025, 0.9950)  9 Be 2.06-2.27
Be (0.5025, 0.9950, 0.5025)  9 Be 2.06-2.27
Be (0.6558, 0.1516, 0.1516)  10 Be 2.08-2.21
Be (0.8028, 0.3177, 0.8028)  8 Be 2.06-2.20
Be (0.8028, 0.8028, 0.3177)  8 Be 2.06-2.20
Be (0.8496, 0.1542, 0.4556)  8 Be 2.08-2.20
Be (0.8496, 0.4556, 0.1542)  8 Be 2.08-2.20
Be (0.9950, 0.5025, 0.5025)  9 Be 2.06-2.27
V (0.8139, 0.8139, 0.8139)  19 Be 2.53-2.76
Re (0.4909, 0.4909, 0.4909)  19 Be 2.49-2.77

Entry 4:
Sb3NCl: relaxed, PBE.

Values from the calculation:
- crystal system = cubic
- excess energy over the best structure of this formula in the dataset (meV per atom) = 0.0
- calculated total energy (eV per atom) = -3.888
- DOS(E_F) (states/eV per atom) = 0.696
- total moment (μB per cell) = 0.00
- uncorrected formation energy (eV/atom) = 0.62

abc: 4.8532 4.8532 4.8532
angles: 90.00 90.00 90.00
Last column: nearest neighbours and their distance in Å.
Atoms (fractional coordinates):
Sb (0.0000, 0.0000, 0.5000)  2 N 2.43
Sb (0.0000, 0.5000, 0.0000)  2 N 2.43
Sb (0.5000, 0.0000, 0.0000)  2 N 2.43
N (0.0000, 0.0000, 0.0000)  6 Sb 2.43
Cl (0.5000, 0.5000, 0.5000)  12 Sb 3.43

Entry 5:
Pa5Pd2Se12: relaxed, PBE.

Values from the calculation:
- crystal system = monoclinic
- calculated total energy (eV per atom) = -6.307
- DOS(E_F) (states/eV per atom) = 0.868
- total moment (μB per cell) = 1.62
- uncorrected formation energy (eV/atom) = -1.06

abc: 8.7137 8.7137 8.9733
angles: 104.68 104.68 48.56
Last column: nearest neighbours and their distance in Å.
Atoms (fractional coordinates):
Pa (0.0000, 0.0000, 0.0000)  2 Se 2.62
Pa (0.3122, 0.3122, 0.1617)  7 Se 2.81-2.98
Pa (0.3235, 0.3235, 0.6493)  7 Se 2.75-3.02
Pa (0.6765, 0.6765, 0.3507)  7 Se 2.75-3.02
Pa (0.6878, 0.6878, 0.8383)  7 Se 2.81-2.98
Pd (0.2841, 0.7159, 0.5000)  6 Se 2.63-2.76
Pd (0.7159, 0.2841, 0.5000)  6 Se 2.63-2.76
Se (0.0050, 0.0050, 0.2944)  1 Pa 2.62, 2 Pd 2.76
Se (0.0753, 0.5822, 0.4074)  1 Pd 2.63, 3 Pa 2.81-2.92
Se (0.0913, 0.5974, 0.9263)  4 Pa 2.93-3.02
Se (0.4026, 0.9087, 0.0737)  4 Pa 2.93-3.02
Se (0.4178, 0.9247, 0.5926)  1 Pd 2.63, 3 Pa 2.81-2.92
Se (0.4964, 0.4964, 0.2489)  2 Pd 2.72, 2 Pa 2.75-2.81
Se (0.5036, 0.5036, 0.7511)  2 Pd 2.72, 2 Pa 2.75-2.81
Se (0.5822, 0.0753, 0.4074)  1 Pd 2.63, 3 Pa 2.81-2.92
Se (0.5974, 0.0913, 0.9263)  4 Pa 2.93-3.02
Se (0.9087, 0.4026, 0.0737)  4 Pa 2.93-3.02
Se (0.9247, 0.4178, 0.5926)  1 Pd 2.63, 3 Pa 2.81-2.92
Se (0.9950, 0.9950, 0.7056)  1 Pa 2.62, 2 Pd 2.76

Entry 6:
Re4TeOs: relaxed, PBE.

Values from the calculation:
- crystal system = cubic
- calculated total energy (eV per atom) = -9.731
- DOS(E_F) (states/eV per atom) = 0.922
- total moment (μB per cell) = 0.00
- uncorrected formation energy (eV/atom) = 0.96

abc: 5.2409 5.2409 5.2409
angles: 60.00 60.00 60.00
Last column: nearest neighbours and their distance in Å.
Atoms (fractional coordinates):
Re (0.1242, 0.1242, 0.1242)  6 Re 2.60-2.64
Re (0.1242, 0.1242, 0.6273)  6 Re 2.60-2.64
Re (0.1242, 0.6273, 0.1242)  6 Re 2.60-2.64
Re (0.6273, 0.1242, 0.1242)  6 Re 2.60-2.64
Te (0.5000, 0.5000, 0.5000)  12 Re 3.07, 4 Os 3.21
Os (0.7500, 0.7500, 0.7500)  12 Re 3.07, 4 Te 3.21

Entry 7:
VBi2Mo2: relaxed, PBE.

Values from the calculation:
- crystal system = tetragonal
- excess energy over the best structure of this formula in the dataset (meV per atom) = 144.7
- calculated total energy (eV per atom) = -6.803
- DOS(E_F) (states/eV per atom) = 1.224
- total moment (μB per cell) = 3.55

abc: 7.7899 7.7899 3.4147
angles: 90.00 90.00 90.00
Last column: nearest neighbours and their distance in Å.
Atoms (fractional coordinates):
V (0.0000, 0.0000, 0.0000)  4 Bi 2.91
V (0.5000, 0.5000, 0.0000)  4 Bi 2.91
Bi (0.1645, 0.3355, 0.0000)  6 Mo 2.83-2.87, 2 V 2.91
Bi (0.3355, 0.8355, 0.0000)  6 Mo 2.83-2.87, 2 V 2.91
Bi (0.6645, 0.1645, 0.0000)  6 Mo 2.83-2.87, 2 V 2.91
Bi (0.8355, 0.6645, 0.0000)  6 Mo 2.83-2.87, 2 V 2.91
Mo (0.1301, 0.6301, 0.5000)  6 Bi 2.83-2.87, 1 Mo 2.87
Mo (0.3699, 0.1301, 0.5000)  6 Bi 2.83-2.87, 1 Mo 2.87
Mo (0.6301, 0.8699, 0.5000)  6 Bi 2.83-2.87, 1 Mo 2.87
Mo (0.8699, 0.3699, 0.5000)  6 Bi 2.83-2.87, 1 Mo 2.87

Entry 8:
Zn2PbW: relaxed, PBE.

Values from the calculation:
- crystal system = monoclinic
- calculated total energy (eV per atom) = -4.181
- DOS(E_F) (states/eV per atom) = 0.501
- total moment (μB per cell) = 0.00

abc: 10.1427 2.9806 4.9787
angles: 90.00 100.01 90.00
Last column: nearest neighbours and their distance in Å.
Atoms (fractional coordinates):
Zn (0.2331, 0.0000, 0.2031)  2 Zn 2.58, 2 W 2.83
Zn (0.2669, 0.5000, 0.7969)  2 Zn 2.58, 2 W 2.83
Zn (0.7331, 0.5000, 0.2031)  2 Zn 2.58, 2 W 2.83
Zn (0.7669, 0.0000, 0.7969)  2 Zn 2.58, 2 W 2.83
Pb (0.0000, 0.0000, 0.5000)  4 W 2.90, 2 Pb 2.98, 6 Zn 3.00-3.22
Pb (0.5000, 0.5000, 0.5000)  4 W 2.90, 2 Pb 2.98, 6 Zn 3.00-3.22
W (0.0000, 0.5000, 0.0000)  6 Zn 2.83-3.05, 4 Pb 2.90, 2 W 2.98
W (0.5000, 0.0000, 0.0000)  6 Zn 2.83-3.05, 4 Pb 2.90, 2 W 2.98

Entry 9:
GaSiTcNi: relaxed, PBE.

Values from the calculation:
- crystal system = cubic
- calculated total energy (eV per atom) = -6.412
- DOS(E_F) (states/eV per atom) = 0.339
- total moment (μB per cell) = 0.00
- uncorrected formation energy (eV/atom) = -0.26

abc: 5.9093 5.9093 5.9093
angles: 90.00 90.00 90.00
Last column: nearest neighbours and their distance in Å.
Atoms (fractional coordinates):
Ga (0.0000, 0.0000, 0.0000)  4 Tc 2.56, 4 Ni 2.56
Ga (0.0000, 0.5000, 0.5000)  4 Tc 2.56, 4 Ni 2.56
Ga (0.5000, 0.0000, 0.5000)  4 Tc 2.56, 4 Ni 2.56
Ga (0.5000, 0.5000, 0.0000)  4 Tc 2.56, 4 Ni 2.56
Si (0.0000, 0.0000, 0.5000)  4 Tc 2.56, 4 Ni 2.56
Si (0.0000, 0.5000, 0.0000)  4 Tc 2.56, 4 Ni 2.56
Si (0.5000, 0.0000, 0.0000)  4 Tc 2.56, 4 Ni 2.56
Si (0.5000, 0.5000, 0.5000)  4 Tc 2.56, 4 Ni 2.56
Tc (0.2500, 0.2500, 0.7500)  4 Si 2.56, 4 Ga 2.56
Tc (0.2500, 0.7500, 0.2500)  4 Si 2.56, 4 Ga 2.56
Tc (0.7500, 0.2500, 0.2500)  4 Si 2.56, 4 Ga 2.56
Tc (0.7500, 0.7500, 0.7500)  4 Ga 2.56, 4 Si 2.56
Ni (0.2500, 0.2500, 0.2500)  4 Si 2.56, 4 Ga 2.56
Ni (0.2500, 0.7500, 0.7500)  4 Si 2.56, 4 Ga 2.56
Ni (0.7500, 0.2500, 0.7500)  4 Si 2.56, 4 Ga 2.56
Ni (0.7500, 0.7500, 0.2500)  4 Si 2.56, 4 Ga 2.56